Material: Tl2ReBr
Method: DFT, PBE
State: optimized geometry

abc: 5.0235 3.2949 5.9076
angles: 73.97 90.00 90.00
Fractional coordinates of all 4 atoms:
Re (0.5000, 0.5262, 0.8172)
Tl (0.0000, 0.9845, 0.9073)
Tl (0.5000, 0.2742, 0.3302)
Br (0.0000, 0.7151, 0.4452)

Values from the calculation:
excess energy over the best structure of this formula in the dataset	0.197	eV per atom
formation energy without anion corrections	0.807	eV/atom
space group	Pm (6)


Material: Ac4Pr2Hg3N2
Method: DFT, PBE
State: optimized geometry

abc: 5.2027 5.2027 13.2564
angles: 101.32 101.32 90.00
Fractional coordinates of all 11 atoms:
Ac (0.4124, 0.9124, 0.8247)
Ac (0.9124, 0.4124, 0.8247)
Ac (0.0876, 0.5876, 0.1753)
Ac (0.5876, 0.0876, 0.1753)
Pr (0.3000, 0.3000, 0.5999)
Pr (0.7000, 0.7000, 0.4001)
Hg (0.0000, 0.0000, 0.0000)
Hg (0.1752, 0.1752, 0.3504)
Hg (0.8248, 0.8248, 0.6496)
N (0.3898, 0.3898, 0.7796)
N (0.6102, 0.6102, 0.2204)

Values from the calculation:
formation energy without anion corrections	-0.580	eV/atom
space group	I4/mmm (139)


Material: YErTe2
Method: DFT, PBE
State: optimized geometry

abc: 4.4541 6.8354 9.6905
angles: 90.00 89.99 90.05
Fractional coordinates of all 8 atoms:
Y (0.2012, 0.9448, 0.1935)
Y (0.7007, 0.4447, 0.0224)
Er (0.2013, 0.7873, 0.7853)
Er (0.7014, 0.2873, 0.4307)
Te (0.7008, 0.6668, 0.2852)
Te (0.7011, 0.5345, 0.6962)
Te (0.2011, 0.0346, 0.5198)
Te (0.2003, 0.1668, 0.9308)

Values from the calculation:
excess energy over the best structure of this formula in the dataset	0.361	eV per atom
formation energy without anion corrections	-0.932	eV/atom
space group	Pmn2_1 (31)


Material: Pm3B2C6
Method: DFT, PBE
State: optimized geometry

abc: 3.5840 3.5840 10.9191
angles: 99.45 99.45 90.00
Fractional coordinates of all 11 atoms:
Pm (0.0000, 0.0000, 0.0000)
Pm (0.8161, 0.8161, 0.6321)
Pm (0.1839, 0.1839, 0.3679)
B (0.3761, 0.3761, 0.7521)
B (0.6239, 0.6239, 0.2479)
C (0.0892, 0.5892, 0.1785)
C (0.5892, 0.0892, 0.1785)
C (0.9108, 0.4108, 0.8215)
C (0.4108, 0.9108, 0.8215)
C (0.6965, 0.6965, 0.3931)
C (0.3035, 0.3035, 0.6069)

Values from the calculation:
E_form	18.0	kcal/mol of atoms
space group	I4/mmm (139)